Entry 1:
A plane-wave DFT calculation with PBE was carried out for a relaxed CaSe3O crystal.

* energy above the lowest structure with this stoichiometry: 0.000 eV per atom
* DOS at the Fermi energy: 1.8 states/eV/cell
* energy relative to the elements, uncorrected: -0.458 eV/atom
* total moment: 0.0 μB per cell
* V: 19.524 Å³/atom

Cell: 4.6045 4.6045 4.6045 Å, 90.00 90.00 90.00°
With the nearest neighbours (Å) after each atom.
Space group Pm-3m (No. 221)
Unique sites:
Ca  0.0000  0.0000  0.0000 [1 per cell]  12 Se 3.26
Se  0.0000  0.5000  0.5000 [3 per cell]  2 O 2.30
O  0.5000  0.5000  0.5000 [1 per cell]  6 Se 2.30

---

Entry 2:
A plane-wave DFT calculation with PBE was carried out for a relaxed LaMgCl2 crystal.

* energy above the lowest structure with this stoichiometry: 0.581 eV per atom
* DOS at the Fermi energy: 18.1 states/eV/cell
* energy relative to the elements, uncorrected: -0.755 eV/atom
* total moment: 2.2 μB per cell
* V: 26.541 Å³/atom

Cell: 7.5165 7.5165 7.5165 Å, 90.00 90.00 90.00°
With the nearest neighbours (Å) after each atom.
Space group F-43m (No. 216)
Unique sites:
La  0.0000  0.0000  0.0000 [4 per cell]  4 Cl 3.25, 4 Mg 3.25
Mg  0.2500  0.2500  0.2500 [4 per cell]  4 Cl 3.25, 4 La 3.25
Cl  0.0000  0.0000  0.5000 [4 per cell]  4 Cl 3.25, 4 Mg 3.25
Cl  0.2500  0.2500  0.7500 [4 per cell]  4 Cl 3.25, 4 La 3.25

---

Entry 3:
A plane-wave DFT calculation with PBE was carried out for a relaxed PmHo3Al4 crystal.

* energy of formation from the pure elements: -0.39 eV per atom
* DOS at the Fermi energy: 3.2 states/eV/cell
* total moment: 0.0 μB per cell
* V: 23.583 Å³/atom

Cell: 5.0958 5.0958 7.2658 Å, 90.00 90.00 90.00°
With the nearest neighbours (Å) after each atom.
Space group P4/mmm (No. 123)
Unique sites:
Pm  0.0000  0.0000  0.0000 [1 per cell]  8 Al 3.16
Ho  0.0000  0.0000  0.5000 [1 per cell]  8 Al 3.10
Ho  0.5000  0.5000  0.0000 [1 per cell]  8 Al 3.16
Ho  0.5000  0.5000  0.5000 [1 per cell]  8 Al 3.10
Al  0.0000  0.5000  0.2568 [4 per cell]  6 Ho 3.10-3.16, 2 Pm 3.16

---

Entry 4:
A plane-wave DFT calculation with PBE was carried out for a relaxed Ir2PtCl crystal.

* energy above the lowest structure with this stoichiometry: 0.128 eV per atom
* DOS at the Fermi energy: 9.6 states/eV/cell
* energy relative to the elements, uncorrected: 0.471 eV/atom
* total moment: 0.0 μB per cell
* V: 15.783 Å³/atom

Cell: 2.7499 4.9552 9.2662 Å, 90.00 90.00 90.00°
With the nearest neighbours (Å) after each atom.
Space group Cmm2 (No. 35)
Unique sites:
Ir  0.0000  0.0000  0.0000 [2 per cell]  8 Ir 2.62-2.83, 2 Pt 2.73
Ir  0.0000  0.5000  0.2412 [2 per cell]  2 Cl 2.53, 4 Ir 2.62-2.75
Pt  0.0000  0.5000  0.7458 [2 per cell]  2 Ir 2.73, 6 Pt 2.75-2.83, 2 Cl 2.90
Cl  0.0000  0.0000  0.4703 [2 per cell]  2 Ir 2.53, 2 Cl 2.75